A.
VASP calculation (PBE-GGA) on NiPtCl4 after structural relaxation.

a = 5.6049 Å, b = 5.6049 Å, c = 5.6049 Å
α = 60.00°, β = 60.00°, γ = 60.00°
Sites, in units of the cell vectors:
Ni (0.0000, 0.0000, 0.0000)
Pt (0.7500, 0.7500, 0.7500)
Cl (0.3751, 0.3751, 0.3751)
Cl (0.3751, 0.3751, 0.8748)
Cl (0.3751, 0.8748, 0.3751)
Cl (0.8748, 0.3751, 0.3751)

Properties
Calculated density, g/cm3: 5.276
N(E_F), states/eV per atom: 2.324


B.
VASP calculation (PBE-GGA) on NiPtCl4 after structural relaxation.

a = 6.7061 Å, b = 6.7061 Å, c = 8.5135 Å
α = 104.96°, β = 104.96°, γ = 28.65°
Sites, in units of the cell vectors:
Ni (0.0000, 0.0000, 0.0000)
Pt (0.5000, 0.5000, 0.5000)
Cl (0.1280, 0.1280, 0.5649)
Cl (0.3837, 0.3837, 0.9495)
Cl (0.6163, 0.6163, 0.0505)
Cl (0.8720, 0.8720, 0.4351)

Properties
Calculated density, g/cm3: 3.713
N(E_F), states/eV per atom: 0.232


The most stable arrangement is B, and the next structure is 167.9 kJ/mol of atoms less stable.